No. 1
Material: Na2LiGeH
Method: DFT, PBE
State: relaxed

Computed properties:
Crystal system ... tetragonal
Calculated total energy ... -2.55 eV/atom
D(E_F) ... 1.5 states/eV/cell
Size of the total moment ... 0.00 μB per cell

Cell lengths 5.200, 5.200, 3.416 Å; angles 90.00, 90.00, 90.00 degrees
Fractional coordinates of all 5 atoms:
Na 0.000 0.500 0.000
Na 0.500 0.000 0.000
Li 0.000 0.000 0.500
Ge 0.500 0.500 0.500
H 0.000 0.000 0.000



No. 2
Material: K2PPbCl
Method: DFT, PBE
State: relaxed

Computed properties:
Crystal system ... tetragonal
Calculated total energy ... -2.56 eV/atom
D(E_F) ... 3.7 states/eV/cell
Size of the total moment ... 1.31 μB per cell

Cell lengths 6.522, 6.522, 4.723 Å; angles 90.00, 90.00, 90.00 degrees
Fractional coordinates of all 5 atoms:
K 0.000 0.500 0.000
K 0.500 0.000 0.000
P 0.000 0.000 0.000
Pb 0.500 0.500 0.500
Cl 0.000 0.000 0.500



No. 3
Material: Pm6Sm2Er3
Method: DFT, PBE
State: relaxed

Computed properties:
Crystal system ... tetragonal
Calculated total energy ... -4.41 eV/atom
D(E_F) ... 15.6 states/eV/cell
Offset from the most stable computed form ... 0.2106 eV per atom
Size of the total moment ... 0.00 μB per cell

Cell lengths 17.207, 17.207, 17.207 Å; angles 164.02, 164.02, 22.67 degrees
Fractional coordinates of all 11 atoms:
Pm 0.121 0.621 0.500
Pm 0.200 0.200 0.000
Pm 0.379 0.879 0.500
Pm 0.621 0.121 0.500
Pm 0.800 0.800 0.000
Pm 0.879 0.379 0.500
Sm 0.045 0.045 0.000
Sm 0.955 0.955 0.000
Er 0.302 0.302 0.000
Er 0.500 0.500 0.000
Er 0.698 0.698 0.000